A geometry-optimized Pr3NdN structure. Source: the Alexandria database, functional GGA-PBE.

Computed properties:
As for the total energy: -5.896 eV per atom. The value obtained for the raw formation energy is -40 kJ per mole of atoms. The value obtained for the volume is 141 Å³/f.u. The calculation puts the magnetization at 0.0 μB/cell.

Cell lengths 5.211, 5.211, 5.211 Å; angles 90.00, 90.00, 90.00 degrees
Space group Pm-3m (No. 221)
Symmetry-distinct sites (fractional):
Pr 0.000 0.000 0.500 [3 per cell]
Nd 0.500 0.500 0.500 [1 per cell]
N 0.000 0.000 0.000 [1 per cell]

***

A geometry-optimized SrCuMo2 structure. Source: the Alexandria database, functional GGA-PBE.

Computed properties:
As for the total energy: -5.995 eV per atom. The value obtained for the volume is 74 Å³/f.u. The calculation puts the magnetization at 1.5 μB/cell. The value obtained for the energy above the lowest structure with this stoichiometry is 0.402 eV per atom.

Cell lengths 6.657, 6.657, 6.657 Å; angles 90.00, 90.00, 90.00 degrees
Space group F-43m (No. 216)
Symmetry-distinct sites (fractional):
Sr 0.000 0.000 0.000 [4 per cell]
Cu 0.250 0.250 0.250 [4 per cell]
Mo 0.000 0.000 0.500 [4 per cell]
Mo 0.250 0.250 0.750 [4 per cell]

***

A geometry-optimized CsTe2Os structure. Source: the Alexandria database, functional GGA-PBE.

Computed properties:
As for the total energy: -3.632 eV per atom. The value obtained for the raw formation energy is 93 kJ per mole of atoms. The value obtained for the volume is 106 Å³/f.u. The calculation puts the magnetization at 0.0 μB/cell. The value obtained for the energy above the lowest structure with this stoichiometry is 1.047 eV per atom.

Cell lengths 7.503, 7.503, 7.503 Å; angles 90.00, 90.00, 90.00 degrees
Space group Fm-3m (No. 225)
Symmetry-distinct sites (fractional):
Cs 0.000 0.000 0.000 [4 per cell]
Te 0.250 0.250 0.250 [8 per cell]
Os 0.000 0.000 0.500 [4 per cell]

***

A geometry-optimized Pu2FeH6Pd structure. Source: the Alexandria database, functional GGA-PBE.

Computed properties:
As for the total energy: -6.542 eV per atom. The value obtained for the volume is 97 Å³/f.u. The calculation puts the magnetization at 10.8 μB/cell.

Cell lengths 5.143, 5.155, 5.162 Å; angles 119.84, 119.80, 90.05 degrees
Space group P-1 (No. 2)
Symmetry-distinct sites (fractional):
Pu 0.250 0.249 0.499 [2 per cell]
Fe 0.500 0.000 0.000 [1 per cell]
H 0.270 0.771 0.001 [2 per cell]
H 0.271 0.229 0.000 [2 per cell]
H 0.272 0.773 0.545 [2 per cell]
Pd 0.000 0.500 0.000 [1 per cell]

***

A geometry-optimized MnCdCo2Sb structure. Source: the Alexandria database, functional GGA-PBE.

Computed properties:
As for the total energy: -4.771 eV per atom. The value obtained for the raw formation energy is 88 kJ per mole of atoms. The value obtained for the volume is 98 Å³/f.u. The calculation puts the magnetization at 6.1 μB/cell.

Cell lengths 4.539, 4.539, 4.775 Å; angles 90.00, 90.00, 90.00 degrees
Space group P4/mmm (No. 123)
Symmetry-distinct sites (fractional):
Mn 0.000 0.000 0.000 [1 per cell]
Cd 0.500 0.500 0.500 [1 per cell]
Co 0.000 0.500 0.000 [2 per cell]
Sb 0.000 0.000 0.500 [1 per cell]

***

A geometry-optimized SmMg6Cd6 structure. Source: the Alexandria database, functional GGA-PBE.

Computed properties:
As for the total energy: -1.670 eV per atom. The value obtained for the volume is 296 Å³/f.u. The calculation puts the magnetization at 0.0 μB/cell.

Cell lengths 6.028, 9.783, 10.022 Å; angles 90.00, 90.00, 90.00 degrees
Space group Immm (No. 71)
Symmetry-distinct sites (fractional):
Sm 0.000 0.000 0.000 [2 per cell]
Mg 0.000 0.282 0.500 [4 per cell]
Mg 0.250 0.250 0.250 [8 per cell]
Cd 0.000 0.000 0.349 [4 per cell]
Cd 0.000 0.345 0.000 [4 per cell]
Cd 0.000 0.500 0.294 [4 per cell]

***

Among the records above, which one has the highest magnetization? Pu2FeH6Pd

***

The highest total energy belongs to which entry? SmMg6Cd6

***

Copy entry 4 word for word.
A geometry-optimized Pu2FeH6Pd structure. Source: the Alexandria database, functional GGA-PBE.

Computed properties:
As for the total energy: -6.542 eV per atom. The value obtained for the volume is 97 Å³/f.u. The calculation puts the magnetization at 10.8 μB/cell.

Cell lengths 5.143, 5.155, 5.162 Å; angles 119.84, 119.80, 90.05 degrees
Space group P-1 (No. 2)
Symmetry-distinct sites (fractional):
Pu 0.250 0.249 0.499 [2 per cell]
Fe 0.500 0.000 0.000 [1 per cell]
H 0.270 0.771 0.001 [2 per cell]
H 0.271 0.229 0.000 [2 per cell]
H 0.272 0.773 0.545 [2 per cell]
Pd 0.000 0.500 0.000 [1 per cell]

***

What is the total energy in the first record? -5.896 eV per atom